1.
First-principles (GGA-PBE) data for a relaxed Li2YSc crystal, as listed in the Alexandria database.

a b c (Å): 6.0847 6.0847 6.0847
angles (deg): 146.99 128.77 62.31
Site moments in Bohr magnetons follow the coordinates.
Sites, in units of the cell vectors:
Y1 0.2382 0.7382 0.5000  0.26
Sc1 0.5170 0.5170 0.0000  0.43
Li1 0.9708 0.9708 0.0000  0.01
Li2 0.7740 0.2740 0.5000  0.02

Calculated values
energy of formation	0.183	eV per atom
relative energy among the computed polymorphs	0.0976	eV per atom

***

2.
First-principles (GGA-PBE) data for a relaxed FeTcHg2 crystal, as listed in the Alexandria database.

a b c (Å): 9.4684 9.4684 9.4684
angles (deg): 17.81 17.81 17.81
Site moments in Bohr magnetons follow the coordinates.
Sites, in units of the cell vectors:
Tc1 0.2500 0.2500 0.2500  -0.18
Hg1 0.4981 0.4981 0.4981  0.01
Hg2 0.0019 0.0019 0.0019  0.01
Fe1 0.7500 0.7500 0.7500  -2.87

Calculated values
energy of formation	0.623	eV per atom
relative energy among the computed polymorphs	0.2861	eV per atom

***

3.
First-principles (GGA-PBE) data for a relaxed SrMnRh2 crystal, as listed in the Alexandria database.

a b c (Å): 3.3054 4.7100 4.7100
angles (deg): 90.00 90.00 90.00
Site moments in Bohr magnetons follow the coordinates.
Sites, in units of the cell vectors:
Sr1 0.5000 0.5000 0.0000  -0.03
Mn1 0.5000 0.0000 0.5000  3.94
Rh1 0.0000 0.0000 0.0000  0.26
Rh2 0.0000 0.5000 0.5000  0.26

Calculated values
energy of formation	0.166	eV per atom
relative energy among the computed polymorphs	0.2321	eV per atom

***

4.
First-principles (GGA-PBE) data for a relaxed TbDy6Sc6 crystal, as listed in the Alexandria database.

a b c (Å): 6.4825 6.4828 10.7058
angles (deg): 90.00 90.00 121.82
Sites, in units of the cell vectors:
Dy1 0.6434 0.3560 0.5000
Dy2 0.3566 0.6440 0.5000
Dy3 0.6906 0.3096 0.0000
Dy4 0.0000 0.0000 0.6602
Dy5 0.3094 0.6904 0.0000
Dy6 0.0000 0.0000 0.3398
Sc1 0.0000 0.5000 0.2556
Sc2 0.5000 0.0000 0.7446
Sc3 0.5000 0.0000 0.2554
Sc4 0.5000 0.5000 0.7836
Sc5 0.5000 0.5000 0.2164
Sc6 0.0000 0.5000 0.7444
Tb1 0.0000 0.0000 0.0000

Calculated values
energy of formation	0.216	eV per atom

***

5.
First-principles (GGA-PBE) data for a relaxed LaZrCrN3 crystal, as listed in the Alexandria database.

a b c (Å): 3.3333 7.2613 7.4978
angles (deg): 103.41 90.00 90.00
Site moments in Bohr magnetons follow the coordinates.
Sites, in units of the cell vectors:
La1 0.2500 0.1879 0.1947  0.01
La2 0.7500 0.8121 0.8053  0.01
Zr1 0.2500 0.6481 0.1521  0.03
Zr2 0.7500 0.3519 0.8479  0.03
N1 0.2500 0.5660 0.8513  0.01
N2 0.2500 0.8254 0.4735  -0.01
N3 0.7500 0.8733 0.1426  0.00
N4 0.7500 0.4340 0.1487  0.01
N5 0.2500 0.1267 0.8574  0.00
N6 0.7500 0.1746 0.5265  -0.01
Cr1 0.7500 0.9142 0.3970  0.48
Cr2 0.2500 0.0858 0.6030  0.48

Calculated values
energy relative to the elements, uncorrected	-1.1299	eV per atom

***

6.
First-principles (GGA-PBE) data for a relaxed BaAcAsI crystal, as listed in the Alexandria database.

a b c (Å): 4.6193 4.6199 8.8885
angles (deg): 89.99 105.07 120.01
Sites, in units of the cell vectors:
Ba1 0.5012 0.1485 0.6651
As1 0.3143 0.5551 0.8847
Ac1 0.1042 0.9501 0.0696
I1 0.9581 0.3771 0.3503

Calculated values
energy relative to the elements, uncorrected	-1.3541	eV per atom